No. 1
The following is a PBE calculation of K2PtBr after structural relaxation, from Alexandria via LeMat-Bulk.

Calculated values
The crystal system is cubic. The value obtained for the formation energy without anion corrections is -0.34 eV per atom. The density of states at the Fermi level comes out at 8.0 states/eV/cell. The energy above the lowest structure with this stoichiometry is 168 meV/atom.

Structure (CIF):
```
data_K2PtBr
_symmetry_space_group_name_H-M 'P 1'
_symmetry_Int_Tables_number 1
_symmetry_space_group_name_Hall 'P 1'
_cell_length_a 5.645
_cell_length_b 5.645
_cell_length_c 5.645
_cell_angle_alpha 60.00
_cell_angle_beta 60.00
_cell_angle_gamma 60.00
loop_
_atom_site_label
_atom_site_fract_x
_atom_site_fract_y
_atom_site_fract_z
Br1 0.000 0.000 0.000
K1 0.750 0.750 0.750
K2 0.250 0.250 0.250
Pt1 0.500 0.500 0.500
```



No. 2
The following is a PBE calculation of Li2Pr2Ga after structural relaxation, from Alexandria via LeMat-Bulk.

Calculated values
The crystal system is tetragonal. The value obtained for the energy relative to the elements is -97 meV per atom. The density of states at the Fermi level comes out at 5.6 states/eV/cell.

Structure (CIF):
```
data_Li2Pr2Ga
_symmetry_space_group_name_H-M 'P 1'
_symmetry_Int_Tables_number 1
_symmetry_space_group_name_Hall 'P 1'
_cell_length_a 3.626
_cell_length_b 3.626
_cell_length_c 10.263
_cell_angle_alpha 100.17
_cell_angle_beta 100.17
_cell_angle_gamma 90.00
loop_
_atom_site_label
_atom_site_fract_x
_atom_site_fract_y
_atom_site_fract_z
Pr1 0.596 0.596 0.191
Pr2 0.404 0.404 0.809
Li1 0.750 0.250 0.500
Li2 0.250 0.750 0.500
Ga1 0.000 0.000 0.000
```



No. 3
The following is a PBE calculation of Sr2SbP3Pd4 after structural relaxation, from Alexandria via LeMat-Bulk.

Calculated values
The crystal system is tetragonal. The value obtained for the formation energy without anion corrections is -0.73 eV per atom. The density of states at the Fermi level comes out at 4.6 states/eV/cell.

Structure (CIF):
```
data_Sr2SbP3Pd4
_symmetry_space_group_name_H-M 'P 1'
_symmetry_Int_Tables_number 1
_symmetry_space_group_name_Hall 'P 1'
_cell_length_a 4.366
_cell_length_b 4.366
_cell_length_c 10.341
_cell_angle_alpha 90.00
_cell_angle_beta 90.00
_cell_angle_gamma 90.00
loop_
_atom_site_label
_atom_site_fract_x
_atom_site_fract_y
_atom_site_fract_z
P1 0.000 0.500 0.123
P2 0.000 0.000 0.500
P3 0.500 0.000 0.877
Sr1 0.000 0.500 0.763
Sr2 0.500 0.000 0.237
Pd1 0.500 0.500 0.000
Pd2 0.500 0.000 0.645
Pd3 0.000 0.500 0.355
Pd4 0.000 0.000 0.000
Sb1 0.500 0.500 0.500
```



No. 4
The following is a PBE calculation of Dy2Tm4Th after structural relaxation, from Alexandria via LeMat-Bulk.

Calculated values
The crystal system is orthorhombic. The value obtained for the energy relative to the elements is 315 meV per atom. The density of states at the Fermi level comes out at 23.4 states/eV/cell.

Structure (CIF):
```
data_Dy2Tm4Th
_symmetry_space_group_name_H-M 'P 1'
_symmetry_Int_Tables_number 1
_symmetry_space_group_name_Hall 'P 1'
_cell_length_a 6.563
_cell_length_b 8.913
_cell_length_c 8.913
_cell_angle_alpha 78.87
_cell_angle_beta 68.40
_cell_angle_gamma 68.40
loop_
_atom_site_label
_atom_site_fract_x
_atom_site_fract_y
_atom_site_fract_z
Th1 0.500 0.500 0.000
Th2 0.000 0.500 0.000
Tm1 0.759 0.763 0.263
Tm2 0.143 0.851 0.863
Tm3 0.143 0.363 0.351
Tm4 0.857 0.149 0.137
Tm5 0.857 0.637 0.649
Tm6 0.241 0.237 0.737
Tm7 0.784 0.237 0.737
Tm8 0.216 0.763 0.263
Dy1 0.276 0.974 0.474
Dy2 0.500 0.000 0.000
Dy3 0.724 0.026 0.526
Dy4 0.500 0.500 0.500
```



No. 5
The following is a PBE calculation of Mn2AgI after structural relaxation, from Alexandria via LeMat-Bulk.

Calculated values
The crystal system is cubic. The value obtained for the formation energy without anion corrections is 1.16 eV per atom. The density of states at the Fermi level comes out at 12.1 states/eV/cell. The energy above the lowest structure with this stoichiometry is 404 meV/atom.

Structure (CIF):
```
data_Mn2AgI
_symmetry_space_group_name_H-M 'P 1'
_symmetry_Int_Tables_number 1
_symmetry_space_group_name_Hall 'P 1'
_cell_length_a 4.423
_cell_length_b 4.423
_cell_length_c 4.423
_cell_angle_alpha 60.00
_cell_angle_beta 60.00
_cell_angle_gamma 60.00
loop_
_atom_site_label
_atom_site_fract_x
_atom_site_fract_y
_atom_site_fract_z
Mn1 0.750 0.750 0.750
Mn2 0.250 0.250 0.250
I1 0.500 0.500 0.500
Ag1 0.000 0.000 0.000
```



No. 6
The following is a PBE calculation of TeHPd2 after structural relaxation, from Alexandria via LeMat-Bulk.

Calculated values
The crystal system is cubic. The density of states at the Fermi level comes out at 2.3 states/eV/cell. The energy above the lowest structure with this stoichiometry is 466 meV/atom.

Structure (CIF):
```
data_TeHPd2
_symmetry_space_group_name_H-M 'P 1'
_symmetry_Int_Tables_number 1
_symmetry_space_group_name_Hall 'P 1'
_cell_length_a 4.449
_cell_length_b 4.449
_cell_length_c 4.449
_cell_angle_alpha 60.00
_cell_angle_beta 60.00
_cell_angle_gamma 60.00
loop_
_atom_site_label
_atom_site_fract_x
_atom_site_fract_y
_atom_site_fract_z
H1 0.000 0.000 0.000
Pd1 0.750 0.750 0.750
Pd2 0.250 0.250 0.250
Te1 0.500 0.500 0.500
```